Record 1
Density functional theory data (GGA-PBE) for Pm4Pr3Si4 after structural relaxation.

Values from the calculation:
Formation energy without anion corrections in eV per atom: -0.4588
DFT total energy in eV/atom: -5.46

a b c (Å): 4.8234 7.0629 17.4232
angles (deg): 90.00 90.00 90.00
Closest atoms and distances in Å follow each position.
Space group Immm (No. 71)
Inequivalent atoms, fractional coordinates:
Pm: 0.0000 0.2308 0.1725 x8  4 Si 2.91-3.18, 1 Pm 3.26
Pr: 0.0000 0.0000 0.4035 x4  4 Si 3.21, 4 Pm 3.34, 1 Pr 3.36
Pr: 0.0000 0.5000 0.5000 x2  6 Si 3.16-3.29
Si: 0.0000 0.3177 0.0000 x4  1 Si 2.57
Si: 0.0000 0.5000 0.3187 x4  6 Pm 2.91-3.18, 1 Pr 3.16

Record 2
Density functional theory data (GGA-PBE) for PmPrSi3 after structural relaxation.

Values from the calculation:
Formation energy without anion corrections in eV per atom: -0.6931
Energy above the most stable polymorph in this dataset in eV per formula unit: 0.00
DFT total energy in eV/atom: -5.85

a b c (Å): 4.3642 24.9445 4.0185
angles (deg): 90.00 90.00 90.00
Closest atoms and distances in Å follow each position.
Space group Cmcm (No. 63)
Inequivalent atoms, fractional coordinates:
Pm: 0.0000 0.2020 0.2500 x4  7 Si 3.01-3.04
Pr: 0.0000 0.0694 0.7500 x4  12 Si 3.17-3.44
Si: 0.0000 0.3240 0.2500 x4  2 Si 2.46
Si: 0.0000 0.3808 0.7500 x4  3 Si 2.36-2.46
Si: 0.0000 0.4753 0.7500 x4  3 Si 2.36

Record 3
Density functional theory data (GGA-PBE) for Pm3Pr2Si2 after structural relaxation.

Values from the calculation:
Formation energy without anion corrections in eV per atom: -0.4207
DFT total energy in eV/atom: -5.37

a b c (Å): 12.0194 4.2829 8.5629
angles (deg): 90.00 111.19 90.00
Closest atoms and distances in Å follow each position.
Space group C2/m (No. 12)
Inequivalent atoms, fractional coordinates:
Pm: 0.0000 0.0000 0.0000 x2  4 Si 3.04
Pm: 0.1313 0.0000 0.4428 x4  3 Si 3.09, 2 Pm 3.42
Pr: 0.1517 0.5000 0.8088 x4  3 Si 3.07-3.33
Si: 0.1694 0.5000 0.2060 x4  5 Pm 3.04-3.09, 3 Pr 3.07-3.33